1.
Crystalline Th4H2Pb3 at its relaxed geometry. Source: the Alexandria database, functional PBE.

Cell lengths 8.7650, 8.7650, 6.5983 Å; angles 101.56, 101.56, 68.01 degrees
Last column: nearest neighbours and their distance in Å.
Element x y z (fractional)
Th (0.1259, 0.6577, 0.9589)  2 H 2.39-2.49
Th (0.2230, 0.3817, 0.4199)  2 H 2.36-2.44
Th (0.3423, 0.8741, 0.5411)  2 H 2.39-2.49
Th (0.3817, 0.2230, 0.9199)  2 H 2.36-2.44
Th (0.6183, 0.7770, 0.0801)  2 H 2.36-2.44
Th (0.6577, 0.1259, 0.4589)  2 H 2.39-2.49
Th (0.7770, 0.6183, 0.5801)  2 H 2.36-2.44
Th (0.8741, 0.3423, 0.0411)  2 H 2.39-2.49
H (0.1294, 0.4101, 0.0634)  1 H 2.33, 4 Th 2.36-2.49
H (0.4101, 0.1294, 0.5634)  1 H 2.33, 4 Th 2.36-2.49
H (0.5899, 0.8706, 0.4366)  1 H 2.33, 4 Th 2.36-2.49
H (0.8706, 0.5899, 0.9366)  1 H 2.33, 4 Th 2.36-2.49
Pb (0.0007, 0.2126, 0.5663)  5 Th 3.23-3.37, 2 H 3.39-3.57
Pb (0.2126, 0.0007, 0.0663)  5 Th 3.23-3.37, 2 H 3.39-3.57
Pb (0.4961, 0.5039, 0.7500)  8 Th 3.24-3.47, 2 Pb 3.30, 2 H 3.57
Pb (0.5039, 0.4961, 0.2500)  8 Th 3.24-3.47, 2 Pb 3.30, 2 H 3.57
Pb (0.7874, 0.9993, 0.9337)  5 Th 3.23-3.37, 2 H 3.39-3.57
Pb (0.9993, 0.7874, 0.4337)  5 Th 3.23-3.37, 2 H 3.39-3.57

Computed properties:
Size of the total moment in Bohr magnetons per cell: 0.000
ρ in kg/m³: 11300
Uncorrected energy in eV/atom: -5.577

=====

2.
Crystalline Th3HPb2 at its relaxed geometry. Source: the Alexandria database, functional PBE.

Cell lengths 7.1539, 7.1539, 6.5792 Å; angles 90.00, 90.00, 78.15 degrees
Last column: nearest neighbours and their distance in Å.
Element x y z (fractional)
Th (0.1514, 0.8486, 0.7500)  1 H 2.40
Th (0.3388, 0.3388, 0.0000)  2 H 2.54
Th (0.3388, 0.3388, 0.5000)  2 H 2.54
Th (0.6612, 0.6612, 0.0000)  2 H 2.54
Th (0.6612, 0.6612, 0.5000)  2 H 2.54
Th (0.8486, 0.1514, 0.2500)  1 H 2.40
H (0.4171, 0.5829, 0.7500)  5 Th 2.40-2.54
H (0.5829, 0.4171, 0.2500)  5 Th 2.40-2.54
Pb (0.0461, 0.6797, 0.2500)  1 Pb 3.04, 5 Th 3.23-3.38
Pb (0.3203, 0.9539, 0.2500)  1 Pb 3.04, 5 Th 3.23-3.38
Pb (0.6797, 0.0461, 0.7500)  1 Pb 3.04, 5 Th 3.23-3.38
Pb (0.9539, 0.3203, 0.7500)  1 Pb 3.04, 5 Th 3.23-3.38

Computed properties:
Size of the total moment in Bohr magnetons per cell: 0.000
ρ in kg/m³: 11202
Uncorrected energy in eV/atom: -5.632

=====

Repeat the first record exactly.
Crystalline Th4H2Pb3 at its relaxed geometry. Source: the Alexandria database, functional PBE.

Cell lengths 8.7650, 8.7650, 6.5983 Å; angles 101.56, 101.56, 68.01 degrees
Last column: nearest neighbours and their distance in Å.
Element x y z (fractional)
Th (0.1259, 0.6577, 0.9589)  2 H 2.39-2.49
Th (0.2230, 0.3817, 0.4199)  2 H 2.36-2.44
Th (0.3423, 0.8741, 0.5411)  2 H 2.39-2.49
Th (0.3817, 0.2230, 0.9199)  2 H 2.36-2.44
Th (0.6183, 0.7770, 0.0801)  2 H 2.36-2.44
Th (0.6577, 0.1259, 0.4589)  2 H 2.39-2.49
Th (0.7770, 0.6183, 0.5801)  2 H 2.36-2.44
Th (0.8741, 0.3423, 0.0411)  2 H 2.39-2.49
H (0.1294, 0.4101, 0.0634)  1 H 2.33, 4 Th 2.36-2.49
H (0.4101, 0.1294, 0.5634)  1 H 2.33, 4 Th 2.36-2.49
H (0.5899, 0.8706, 0.4366)  1 H 2.33, 4 Th 2.36-2.49
H (0.8706, 0.5899, 0.9366)  1 H 2.33, 4 Th 2.36-2.49
Pb (0.0007, 0.2126, 0.5663)  5 Th 3.23-3.37, 2 H 3.39-3.57
Pb (0.2126, 0.0007, 0.0663)  5 Th 3.23-3.37, 2 H 3.39-3.57
Pb (0.4961, 0.5039, 0.7500)  8 Th 3.24-3.47, 2 Pb 3.30, 2 H 3.57
Pb (0.5039, 0.4961, 0.2500)  8 Th 3.24-3.47, 2 Pb 3.30, 2 H 3.57
Pb (0.7874, 0.9993, 0.9337)  5 Th 3.23-3.37, 2 H 3.39-3.57
Pb (0.9993, 0.7874, 0.4337)  5 Th 3.23-3.37, 2 H 3.39-3.57

Computed properties:
Size of the total moment in Bohr magnetons per cell: 0.000
ρ in kg/m³: 11300
Uncorrected energy in eV/atom: -5.577